An optimized crystal structure of Cs3PuHg2Cl9. Source: Alexandria, functional PBE.

As for the density of states at the Fermi level: 11.45 states/eV/f.u. Its crystal system is trigonal. The formation energy (no corrections) is -1.4946 eV/atom. The calculation puts the final energy at -56.54 eV/cell.

a = 7.8802 Å, b = 7.8802 Å, c = 9.6460 Å
α = 90.00°, β = 90.00°, γ = 120.00°
Space group P-3m1 (No. 164)
Inequivalent atoms, fractional coordinates:
1 Cs 0.0000 0.0000 0.0000 x1
2 Cs 0.3333 0.6667 0.6867 x2
3 Pu 0.0000 0.0000 0.5000 x1
4 Hg 0.3333 0.6667 0.1510 x2
5 Cl 0.0000 0.5000 0.0000 x3
6 Cl 0.1615 0.3230 0.3418 x6

An optimized crystal structure of MgAs2Cl. Source: Alexandria, functional PBE.

As for the density of states at the Fermi level: 1.35 states/eV/f.u. Its crystal system is orthorhombic. The formation energy (no corrections) is -0.3735 eV/atom. The calculation puts the final energy at -28.47 eV/cell.

a = 3.573 Å, b = 7.144 Å, c = 8.288 Å
α = 90.00°, β = 90.00°, γ = 90.00°
Space group Imm2 (No. 44)
Inequivalent atoms, fractional coordinates:
1 Mg 0.000 0.000 0.000 x2
2 As 0.000 0.000 0.457 x2
3 As 0.000 0.500 0.763 x2
4 Cl 0.000 0.500 0.313 x2

Question: The lowest final energy belongs to which entry?
Answer: Cs3PuHg2Cl9

What did the first record say?
An optimized crystal structure of Cs3PuHg2Cl9. Source: Alexandria, functional PBE.

As for the density of states at the Fermi level: 11.45 states/eV/f.u. Its crystal system is trigonal. The formation energy (no corrections) is -1.4946 eV/atom. The calculation puts the final energy at -56.54 eV/cell.

a = 7.8802 Å, b = 7.8802 Å, c = 9.6460 Å
α = 90.00°, β = 90.00°, γ = 120.00°
Space group P-3m1 (No. 164)
Inequivalent atoms, fractional coordinates:
1 Cs 0.0000 0.0000 0.0000 x1
2 Cs 0.3333 0.6667 0.6867 x2
3 Pu 0.0000 0.0000 0.5000 x1
4 Hg 0.3333 0.6667 0.1510 x2
5 Cl 0.0000 0.5000 0.0000 x3
6 Cl 0.1615 0.3230 0.3418 x6

Question: The lowest formation energy (no corrections) belongs to which entry?
Answer: Cs3PuHg2Cl9